Re2PtSe: optimized geometry, PBE.

Structure (POSCAR):
```
Re2PtSe
1.0
-2.0256 1.8261 0.5044
-0.7515 -2.5954 -0.6256
0.2326 -2.2981 9.2539
Pt Re Se
1 2 1
direct
0.5000 0.5000 0.7637
0.0000 0.0000 0.0116
0.5000 0.5000 0.2389
0.0000 0.0000 0.4858
```

Calculated values
The calculation puts the density of states at the Fermi level at 1.071 states/eV/atom. Its space group is Cmm2 (35). The crystal system is orthorhombic. The uncorrected formation energy is 470 meV/atom.